The following is a PBE calculation of a relaxed LiTi2Rh2 crystal, from Alexandria via LeMat-Bulk.

POSCAR file:
```
LiTi2Rh2
1.0
7.3907 0.0000 0.0000
0.0000 7.3907 0.0000
0.0000 0.0000 2.9243
Li Ti Rh
2 4 4
Direct
0.0000 0.0000 0.0000
0.5000 0.5000 0.0000
0.1529 0.3471 0.5000
0.3471 0.8471 0.5000
0.6529 0.1529 0.5000
0.8471 0.6529 0.5000
0.1437 0.6437 0.0000
0.3563 0.1437 0.0000
0.6437 0.8563 0.0000
0.8563 0.3563 0.0000
```

Computed properties:
The relative energy among the computed polymorphs comes out at 0.0 kJ per mole of atoms. The density of states at the Fermi level is 5.479 states/eV/f.u. The total energy comes out at -7.01 eV/atom. As for the space group: P4/mbm, No. 127. The value obtained for the mass density is 6.41 g/cm³.